DFT (PBE with a Hubbard U) results for Ba2MoF8 after structural relaxation.

Cell lengths 5.021, 7.289, 7.289 Å; angles 68.33, 64.14, 64.14 degrees
Positions (direct):
Ba  0.035  0.663  0.663
Ba  0.965  0.337  0.337
F  0.630  0.589  0.589
F  0.008  0.292  0.947
F  0.370  0.411  0.411
F  0.542  0.112  0.112
F  0.458  0.888  0.888
F  0.992  0.053  0.708
F  0.992  0.708  0.053
F  0.008  0.947  0.292
Mo  0.000  0.000  0.000

Results
The calculation puts the total energy at -0.20783 Ha/atom.